(1)
## TlGeS4 (PBE-GGA)

Data for crystalline TlGeS4 at its relaxed geometry.

Raw formation energy ... -159 meV per atom
Space-group type ... C2/c, No. 15
N(E_F) ... 1.32 states/eV per cell

a b c (Å): 5.8040 5.9870 12.1439
angles (deg): 100.52 99.97 105.51
Last column: nearest neighbours and their distance in Å.
Positions (direct):
1 S 0.1965 0.3107 0.0407  1 S 1.97
2 S 0.3917 0.2420 0.3940  2 Ge 2.24
3 S 0.6083 0.7580 0.6060  2 Ge 2.24
4 S 0.1558 0.7700 0.9593  1 S 1.97
5 S 0.9977 0.3480 0.6060  2 Ge 2.24
6 S 0.8035 0.6893 0.9593  1 S 1.97
7 S 0.0023 0.6520 0.3940  2 Ge 2.24
8 S 0.8442 0.2300 0.0407  1 S 1.97
9 Tl 0.4178 0.1678 0.8357  4 S 3.08-3.22
10 Tl 0.5822 0.8322 0.1643  4 S 3.08-3.22
11 Ge 0.2499 0.4999 0.4997  4 S 2.24
12 Ge 0.7501 0.5001 0.5003  4 S 2.24

(2)
## KTlAg2 (PBE-GGA)

Data for crystalline KTlAg2 at its relaxed geometry.

Space-group type ... Imm2, No. 44
Energy of formation ... 0.4 eV per formula unit
N(E_F) ... 0.90 states/eV per cell

a b c (Å): 6.4057 6.4057 6.4057
angles (deg): 148.52 128.49 61.63
Last column: nearest neighbours and their distance in Å.
Positions (direct):
1 Ag 0.9907 0.9907 0.0000  2 Ag 2.83, 2 Tl 3.04
2 Ag 0.7875 0.2875 0.5000  2 Ag 2.83
3 Tl 0.2174 0.7174 0.5000  6 Ag 3.04-3.37
4 K 0.5044 0.5044 0.0000  8 Ag 3.28-3.67, 2 K 3.48, 4 Tl 3.60-3.64

(3)
## CaTe2Os (PBE-GGA)

Data for crystalline CaTe2Os at its relaxed geometry.

Raw formation energy ... 121 meV per atom
Space-group type ... Fm-3m, No. 225
N(E_F) ... 3.01 states/eV per cell

a b c (Å): 5.0181 5.0181 5.0181
angles (deg): 60.00 60.00 60.00
Last column: nearest neighbours and their distance in Å.
Positions (direct):
1 Os 0.5000 0.5000 0.5000  8 Te 3.07
2 Ca 0.0000 0.0000 0.0000  8 Te 3.07
3 Te 0.7500 0.7500 0.7500  4 Ca 3.07, 4 Os 3.07
4 Te 0.2500 0.2500 0.2500  4 Ca 3.07, 4 Os 3.07

(4)
## NaH2Br (PBE-GGA)

Data for crystalline NaH2Br at its relaxed geometry.

Final energy ... -2.015 eV per atom
Space-group type ... I-42d, No. 122
N(E_F) ... 0.00 states/eV per cell

a b c (Å): 6.5265 6.5265 5.4511
angles (deg): 53.23 53.23 90.00
Last column: nearest neighbours and their distance in Å.
Positions (direct):
1 H 0.8750 0.9227 0.7500  2 Br 2.22
2 H 0.6727 0.1250 0.2500  2 Br 2.22
3 H 0.3750 0.3273 0.7500  2 Br 2.22
4 H 0.0773 0.6250 0.2500  2 Br 2.22
5 Br 0.0000 0.0000 0.0000  4 H 2.22
6 Br 0.7500 0.2500 0.5000  4 H 2.22
7 Na 0.5000 0.5000 0.0000  4 H 2.64, 2 Br 2.90
8 Na 0.2500 0.7500 0.5000  4 H 2.64, 2 Br 2.90

(5)
## Tm7NiSn4 (PBE-GGA)

Data for crystalline Tm7NiSn4 at its relaxed geometry.

Space-group type ... C2/m, No. 12
Energy of formation ... -4.1 eV per formula unit
N(E_F) ... 9.98 states/eV per cell

a b c (Å): 5.1296 9.0107 8.2029
angles (deg): 80.10 71.78 73.46
Last column: nearest neighbours and their distance in Å.
Positions (direct):
1 Sn 0.2791 0.3485 0.0934  8 Tm 3.02-3.29
2 Sn 0.4198 0.7810 0.3795  8 Tm 3.10-3.36
3 Sn 0.7209 0.6515 0.9066  8 Tm 3.02-3.29
4 Sn 0.5802 0.2190 0.6205  8 Tm 3.10-3.36
5 Tm 0.2189 0.1376 0.4247  4 Sn 3.02-3.13
6 Tm 0.0715 0.7173 0.1396  1 Ni 2.58
7 Tm 0.5000 0.0000 0.0000  2 Ni 2.56
8 Tm 0.9285 0.2827 0.8604  1 Ni 2.58
9 Tm 0.6425 0.4374 0.2777  5 Sn 3.07-3.29
10 Tm 0.3575 0.5626 0.7223  5 Sn 3.07-3.29
11 Tm 0.7811 0.8624 0.5753  4 Sn 3.02-3.13
12 Ni 0.0000 0.0000 0.0000  4 Tm 2.56-2.58

(6)
## MgRu3S (PBE-GGA)

Data for crystalline MgRu3S at its relaxed geometry.

Raw formation energy ... 172 meV per atom
Space-group type ... Pm-3m, No. 221
N(E_F) ... 4.37 states/eV per cell

a b c (Å): 4.3395 4.3395 4.3395
angles (deg): 90.00 90.00 90.00
Last column: nearest neighbours and their distance in Å.
Positions (direct):
1 S 0.0000 0.0000 0.0000  6 Ru 2.17
2 Ru 0.0000 0.0000 0.5000  2 S 2.17
3 Ru 0.0000 0.5000 0.0000  2 S 2.17
4 Ru 0.5000 0.0000 0.0000  2 S 2.17
5 Mg 0.5000 0.5000 0.5000  12 Ru 3.07

Which of these has the highest N(E_F)?
Tm7NiSn4